The following is a DFT calculation (PBE-GGA) of YMgScHg after structural relaxation.

The calculation puts the energy of formation from the pure elements at -0.27 eV/atom. As for the uncorrected energy: -3.95 eV per atom. As for the space group: P4mm.

Cell lengths 3.6732, 3.6732, 7.2293 Å; angles 90.00, 90.00, 90.00 degrees
Positions (direct):
1 Y 0.0000 0.0000 0.8603
2 Mg 0.5000 0.5000 0.5852
3 Sc 0.0000 0.0000 0.3520
4 Hg 0.5000 0.5000 0.1306



The following is a DFT calculation (PBE-GGA) of LiNpGaSb after structural relaxation.

As for the uncorrected energy: -5.62 eV per atom. As for the space group: F-43m.

Cell lengths 5.0133, 5.0133, 5.0133 Å; angles 60.00, 60.00, 60.00 degrees
Positions (direct):
1 Np 0.7500 0.7500 0.7500
2 Sb 0.0000 0.0000 0.0000
3 Ga 0.5000 0.5000 0.5000
4 Li 0.2500 0.2500 0.2500



Copy entry 2 word for word.
The following is a DFT calculation (PBE-GGA) of LiNpGaSb after structural relaxation.

As for the uncorrected energy: -5.62 eV per atom. As for the space group: F-43m.

Cell lengths 5.0133, 5.0133, 5.0133 Å; angles 60.00, 60.00, 60.00 degrees
Positions (direct):
1 Np 0.7500 0.7500 0.7500
2 Sb 0.0000 0.0000 0.0000
3 Ga 0.5000 0.5000 0.5000
4 Li 0.2500 0.2500 0.2500